# BaSiAg2Te2Se2

Crystalline BaSiAg2Te2Se2 at its relaxed geometry (PBE, OQMD via LeMat-Bulk).

a b c (Å): 6.754 6.754 7.369
angles (deg): 122.30 122.30 66.14
Positions (direct):
Ag: 0.746 0.753 0.262
Ag: 0.247 0.254 0.738
Ba: 0.986 0.014 0.000
Se: 0.848 0.464 0.467
Se: 0.536 0.152 0.533
Si: 0.521 0.479 0.500
Te: 0.152 0.536 0.150
Te: 0.464 0.848 0.850

Properties
- crystal system = monoclinic
- distance to the lowest polymorph of the same formula (kJ per mole of atoms) = 0.78

# Hf3GeN2

Crystalline Hf3GeN2 at its relaxed geometry (PBE, OQMD via LeMat-Bulk).

a b c (Å): 3.184 3.184 19.081
angles (deg): 90.00 90.00 120.00
Positions (direct):
Ge: 0.000 0.000 0.250
Ge: 0.000 0.000 0.750
Hf: 0.000 0.000 0.000
Hf: 0.667 0.333 0.138
Hf: 0.667 0.333 0.362
Hf: 0.000 0.000 0.500
Hf: 0.333 0.667 0.638
Hf: 0.333 0.667 0.862
N: 0.333 0.667 0.068
N: 0.333 0.667 0.432
N: 0.667 0.333 0.568
N: 0.667 0.333 0.932

Properties
- crystal system = hexagonal
- calculated total energy (eV per atom) = -9.854

# NdScB4

Crystalline NdScB4 at its relaxed geometry (PBE, OQMD via LeMat-Bulk).

a b c (Å): 5.068 5.068 5.068
angles (deg): 142.58 112.34 79.96
Positions (direct):
B: 0.581 0.246 0.334
B: 0.088 0.754 0.334
B: 0.912 0.246 0.666
B: 0.419 0.754 0.666
Nd: 0.000 0.000 0.000
Sc: 0.500 0.500 0.000

Properties
- crystal system = orthorhombic
- distance to the lowest polymorph of the same formula (kJ per mole of atoms) = 9.36

# BiPt7

Crystalline BiPt7 at its relaxed geometry (PBE, OQMD via LeMat-Bulk).

a b c (Å): 3.027 3.786 35.961
angles (deg): 90.00 90.00 90.00
Positions (direct):
Bi: 0.000 0.000 0.204
Bi: 0.500 0.500 0.796
Pt: 0.500 0.500 0.247
Pt: 0.000 0.000 0.289
Pt: 0.500 0.500 0.327
Pt: 0.000 0.000 0.366
Pt: 0.500 0.500 0.404
Pt: 0.000 0.000 0.443
Pt: 0.500 0.500 0.481
Pt: 0.000 0.000 0.519
Pt: 0.500 0.500 0.557
Pt: 0.000 0.000 0.596
Pt: 0.500 0.500 0.634
Pt: 0.000 0.000 0.673
Pt: 0.500 0.500 0.711
Pt: 0.000 0.000 0.753

Properties
- crystal system = orthorhombic
- calculated total energy (eV per atom) = -5.799

# NaAgPtSe2S

Crystalline NaAgPtSe2S at its relaxed geometry (PBE, OQMD via LeMat-Bulk).

a b c (Å): 6.775 6.775 10.353
angles (deg): 90.00 90.00 146.92
Positions (direct):
Ag: 0.086 0.914 0.250
Ag: 0.914 0.086 0.750
Na: 0.781 0.219 0.250
Na: 0.219 0.781 0.750
Pt: 0.500 0.500 0.000
Pt: 0.500 0.500 0.500
S: 0.450 0.550 0.250
S: 0.550 0.450 0.750
Se: 0.128 0.872 0.012
Se: 0.128 0.872 0.488
Se: 0.872 0.128 0.512
Se: 0.872 0.128 0.988

Properties
- crystal system = orthorhombic
- calculated total energy (eV per atom) = -3.854

# Dy3Ho5

Crystalline Dy3Ho5 at its relaxed geometry (PBE, OQMD via LeMat-Bulk).

a b c (Å): 7.187 7.187 5.593
angles (deg): 90.00 90.00 120.00
Positions (direct):
Dy: 0.000 0.500 0.000
Dy: 0.500 0.500 0.000
Dy: 0.500 0.000 0.000
Ho: 0.000 0.000 0.000
Ho: 0.334 0.167 0.500
Ho: 0.833 0.167 0.500
Ho: 0.833 0.666 0.500
Ho: 0.333 0.667 0.500

Properties
- crystal system = hexagonal
- formation energy (meV/atom) = 5.3

# Fe3Re

Crystalline Fe3Re at its relaxed geometry (PBE, OQMD via LeMat-Bulk).

a b c (Å): 5.065 5.065 4.033
angles (deg): 90.00 90.00 120.00
Positions (direct):
Fe: 0.162 0.325 0.250
Fe: 0.162 0.838 0.250
Fe: 0.675 0.838 0.250
Fe: 0.325 0.162 0.750
Fe: 0.838 0.162 0.750
Fe: 0.838 0.675 0.750
Re: 0.667 0.333 0.250
Re: 0.333 0.667 0.750

Properties
- crystal system = hexagonal
- formation energy (meV/atom) = -11.6

# WSe2S2Br

Crystalline WSe2S2Br at its relaxed geometry (PBE, OQMD via LeMat-Bulk).

a b c (Å): 6.289 7.878 8.009
angles (deg): 112.96 96.43 113.48
Positions (direct):
Br: 0.337 0.605 0.248
Br: 0.663 0.395 0.752
S: 0.902 0.781 0.083
S: 0.667 0.279 0.192
S: 0.333 0.721 0.808
S: 0.098 0.219 0.917
Se: 0.537 0.001 0.252
Se: 0.115 0.145 0.305
Se: 0.885 0.855 0.695
Se: 0.463 0.999 0.748
W: 0.227 0.000 0.001
W: 0.773 0.000 0.999

Properties
- crystal system = triclinic
- distance to the lowest polymorph of the same formula (kJ per mole of atoms) = 5.80